(1)
Entry from Alexandria via LeMat-Bulk: a relaxed YInSe2N crystal (PBE).

Results
ΔE to the lowest computed polymorph: 0.017 eV/atom
SG: No. 123
E_form (uncorrected): -0.03 eV/f.u.
Volume: 136 Å³ per cell

Cell: 5.5773 5.5773 4.3723 Å, 90.00 90.00 90.00°
Fractional positions:
Y 0.0000 0.0000 0.0000
In 0.5000 0.5000 0.5000
Se 0.0000 0.5000 0.0000
Se 0.5000 0.0000 0.0000
N 0.0000 0.0000 0.5000

***

(2)
Entry from Alexandria via LeMat-Bulk: a relaxed Cd2FeTc crystal (PBE).

Results
ΔE to the lowest computed polymorph: 0.313 eV/atom
SG: No. 119
ΔH_f (0 K): 0.506 eV per atom
Volume: 67 Å³ per cell

Cell: 4.8611 4.8611 4.8611 Å, 129.44 129.44 74.30°
Fractional positions:
Cd 0.0000 0.0000 0.0000
Cd 0.7500 0.2500 0.5000
Fe 0.2500 0.7500 0.5000
Tc 0.5000 0.5000 0.0000

***

(3)
Entry from Alexandria via LeMat-Bulk: a relaxed MgSi2Ir crystal (PBE).

Results
SG: No. 6
E_form (uncorrected): -0.86 eV/f.u.
Volume: 62 Å³ per cell

Cell: 3.0909 4.4010 4.8161 Å, 90.00 108.56 90.00°
Fractional positions:
Mg 0.0000 0.0000 0.0000
Si 0.2716 0.0000 0.5383
Si 0.6829 0.5000 0.3552
Ir 0.3977 0.5000 0.7893

***

(4)
Entry from Alexandria via LeMat-Bulk: a relaxed Fe2RePb crystal (PBE).

Results
SG: No. 216
ΔH_f (0 K): 0.747 eV per atom
Volume: 62 Å³ per cell

Cell: 4.4531 4.4531 4.4531 Å, 60.00 60.00 60.00°
Fractional positions:
Fe 0.0000 0.0000 0.0000
Fe 0.2500 0.2500 0.2500
Re 0.7500 0.7500 0.7500
Pb 0.5000 0.5000 0.5000

***

Repeat the third record exactly.
Entry from Alexandria via LeMat-Bulk: a relaxed MgSi2Ir crystal (PBE).

Results
SG: No. 6
E_form (uncorrected): -0.86 eV/f.u.
Volume: 62 Å³ per cell

Cell: 3.0909 4.4010 4.8161 Å, 90.00 108.56 90.00°
Fractional positions:
Mg 0.0000 0.0000 0.0000
Si 0.2716 0.0000 0.5383
Si 0.6829 0.5000 0.3552
Ir 0.3977 0.5000 0.7893

***

Question: The highest volume belongs to which entry?
Answer: YInSe2N